A) First-principles (PBE) data for crystalline ZnIn2P4 at its relaxed geometry, as listed in the Alexandria database.

Results
Space-group type: No. 8
Calculated volume, Å³ per atom: 23.4
Crystal system: monoclinic

a b c (Å): 4.218 4.218 10.848
angles (deg): 90.43 90.43 58.21
Atoms (fractional coordinates):
Zn  0.000  0.000  0.000
In  0.300  0.300  0.376
In  0.626  0.626  0.704
P  0.625  0.625  0.465
P  0.653  0.653  0.058
P  0.838  0.838  0.204
P  0.956  0.956  0.784

---

B) First-principles (PBE) data for crystalline ZnIn2P4 at its relaxed geometry, as listed in the Alexandria database.

Results
Space-group type: No. 12
Calculated volume, Å³ per atom: 22.3
Crystal system: monoclinic

a b c (Å): 4.052 4.052 22.883
angles (deg): 96.07 96.07 56.96
Atoms (fractional coordinates):
Zn  0.204  0.204  0.083
Zn  0.796  0.796  0.917
In  0.042  0.042  0.764
In  0.252  0.252  0.385
In  0.748  0.748  0.615
In  0.958  0.958  0.236
P  0.031  0.031  0.545
P  0.258  0.258  0.186
P  0.460  0.460  0.674
P  0.484  0.484  0.953
P  0.516  0.516  0.047
P  0.540  0.540  0.326
P  0.742  0.742  0.814
P  0.969  0.969  0.455

---

Most favorable structure: A). The second most favorable one is 0.054 eV/atom above it.

---

A) First-principles (PBE) data for crystalline ZrInP at its relaxed geometry, as listed in the Alexandria database.

Results
Space-group type: No. 107
Calculated volume, Å³ per atom: 22.2
Crystal system: tetragonal

a b c (Å): 5.839 5.839 5.839
angles (deg): 144.57 144.57 50.97
Atoms (fractional coordinates):
Zr  0.000  0.000  0.000
In  0.706  0.706  0.000
P  0.439  0.439  0.000

---

B) First-principles (PBE) data for crystalline ZrInP at its relaxed geometry, as listed in the Alexandria database.

Results
Space-group type: No. 216
Calculated volume, Å³ per atom: 23.7
Crystal system: cubic

a b c (Å): 4.649 4.649 4.649
angles (deg): 60.00 60.00 60.00
Atoms (fractional coordinates):
Zr  0.000  0.000  0.000
In  0.250  0.250  0.250
P  0.750  0.750  0.750

---

Most favorable structure: A). The second most favorable one is 0.692 eV/atom above it.

---

A) First-principles (PBE) data for crystalline ZrIn3P at its relaxed geometry, as listed in the Alexandria database.

Results
Space-group type: No. 221
Calculated volume, Å³ per atom: 35.0
Crystal system: cubic

a b c (Å): 5.591 5.591 5.591
angles (deg): 90.00 90.00 90.00
Atoms (fractional coordinates):
Zr  0.000  0.000  0.000
In  0.000  0.000  0.500
In  0.000  0.500  0.000
In  0.500  0.000  0.000
P  0.500  0.500  0.500

---

B) First-principles (PBE) data for crystalline ZrIn3P at its relaxed geometry, as listed in the Alexandria database.

Results
Space-group type: No. 221
Calculated volume, Å³ per atom: 26.4
Crystal system: cubic

a b c (Å): 5.092 5.092 5.092
angles (deg): 90.00 90.00 90.00
Atoms (fractional coordinates):
Zr  0.000  0.000  0.000
In  0.000  0.500  0.500
In  0.500  0.000  0.500
In  0.500  0.500  0.000
P  0.500  0.500  0.500

---

Most favorable structure: B). The second most favorable one is 0.415 eV/atom above it.

---

A) First-principles (PBE) data for crystalline ZrInP3 at its relaxed geometry, as listed in the Alexandria database.

Results
Space-group type: No. 221
Calculated volume, Å³ per atom: 23.2
Crystal system: cubic

a b c (Å): 4.879 4.879 4.879
angles (deg): 90.00 90.00 90.00
Atoms (fractional coordinates):
Zr  0.000  0.000  0.000
In  0.500  0.500  0.500
P  0.000  0.500  0.500
P  0.500  0.000  0.500
P  0.500  0.500  0.000

---

B) First-principles (PBE) data for crystalline ZrInP3 at its relaxed geometry, as listed in the Alexandria database.

Results
Space-group type: No. 221
Calculated volume, Å³ per atom: 25.9
Crystal system: cubic

a b c (Å): 5.057 5.057 5.057
angles (deg): 90.00 90.00 90.00
Atoms (fractional coordinates):
Zr  0.000  0.000  0.000
In  0.500  0.500  0.500
P  0.000  0.000  0.500
P  0.000  0.500  0.000
P  0.500  0.000  0.000

---

Most favorable structure: B). The second most favorable one is 0.723 eV/atom above it.

---

A) First-principles (PBE) data for crystalline PaIn at its relaxed geometry, as listed in the Alexandria database.

Results
Space-group type: No. 10
Calculated volume, Å³ per atom: 24.5
Crystal system: monoclinic

a b c (Å): 5.906 3.130 8.217
angles (deg): 90.00 104.53 90.00
Atoms (fractional coordinates):
Pa  0.000  0.000  0.000
Pa  0.158  0.000  0.656
Pa  0.842  0.000  0.344
In  0.326  0.500  0.333
In  0.500  0.500  0.000
In  0.674  0.500  0.667

---

B) First-principles (PBE) data for crystalline PaIn at its relaxed geometry, as listed in the Alexandria database.

Results
Space-group type: No. 123
Calculated volume, Å³ per atom: 24.6
Crystal system: tetragonal

a b c (Å): 3.131 3.131 5.024
angles (deg): 90.00 90.00 90.00
Atoms (fractional coordinates):
Pa  0.000  0.000  0.000
In  0.500  0.500  0.500

---

Most favorable structure: B). The second most favorable one is 0.007 eV/atom above it.

---

A) First-principles (PBE) data for crystalline Pa8In at its relaxed geometry, as listed in the Alexandria database.

Results
Space-group type: No. 12
Calculated volume, Å³ per atom: 25.0
Crystal system: monoclinic

a b c (Å): 8.763 8.763 3.222
angles (deg): 100.09 100.09 107.96
Atoms (fractional coordinates):
Pa  0.169  0.169  0.676
Pa  0.170  0.830  0.000
Pa  0.174  0.497  0.339
Pa  0.497  0.174  0.339
Pa  0.503  0.826  0.661
Pa  0.826  0.503  0.661
Pa  0.830  0.170  0.000
Pa  0.831  0.831  0.324
In  0.500  0.500  0.000

---

B) First-principles (PBE) data for crystalline Pa8In at its relaxed geometry, as listed in the Alexandria database.

Results
Space-group type: No. 139
Calculated volume, Å³ per atom: 24.9
Crystal system: tetragonal

a b c (Å): 7.378 7.378 7.378
angles (deg): 95.45 95.45 144.10
Atoms (fractional coordinates):
Pa  0.000  0.330  0.330
Pa  0.000  0.670  0.670
Pa  0.330  0.000  0.330
Pa  0.335  0.335  0.671
Pa  0.335  0.665  0.000
Pa  0.665  0.335  0.000
Pa  0.665  0.665  0.329
Pa  0.670  0.000  0.670
In  0.000  0.000  0.000

---

Most favorable structure: A). The second most favorable one is 0.005 eV/atom above it.

---

A) First-principles (PBE) data for crystalline PaIn2Pb at its relaxed geometry, as listed in the Alexandria database.

Results
Space-group type: No. 123
Calculated volume, Å³ per atom: 26.7
Crystal system: tetragonal

a b c (Å): 3.925 3.925 6.935
angles (deg): 90.00 90.00 90.00
Atoms (fractional coordinates):
Pa  0.000  0.000  0.000
In  0.500  0.500  0.259
In  0.500  0.500  0.741
Pb  0.000  0.000  0.500

---

B) First-principles (PBE) data for crystalline PaIn2Pb at its relaxed geometry, as listed in the Alexandria database.

Results
Space-group type: No. 139
Calculated volume, Å³ per atom: 26.4
Crystal system: tetragonal

a b c (Å): 6.079 6.079 6.079
angles (deg): 136.38 136.38 63.39
Atoms (fractional coordinates):
Pa  0.000  0.000  0.000
In  0.250  0.750  0.500
In  0.750  0.250  0.500
Pb  0.500  0.500  0.000

---

Most favorable structure: B). The second most favorable one is 0.125 eV/atom above it.

---

A) First-principles (PBE) data for crystalline PaIn2Pb at its relaxed geometry, as listed in the Alexandria database.

Results
Space-group type: No. 123
Calculated volume, Å³ per atom: 25.9
Crystal system: tetragonal

a b c (Å): 4.639 4.639 4.812
angles (deg): 90.00 90.00 90.00
Atoms (fractional coordinates):
Pa  0.000  0.000  0.000
In  0.000  0.500  0.500
In  0.500  0.000  0.500
Pb  0.500  0.500  0.000

---

B) First-principles (PBE) data for crystalline PaIn2Pb at its relaxed geometry, as listed in the Alexandria database.

Results
Space-group type: No. 225
Calculated volume, Å³ per atom: 28.0
Crystal system: cubic

a b c (Å): 5.411 5.411 5.411
angles (deg): 60.00 60.00 60.00
Atoms (fractional coordinates):
Pa  0.000  0.000  0.000
In  0.250  0.250  0.250
In  0.750  0.750  0.750
Pb  0.500  0.500  0.500

---

Most favorable structure: A). The second most favorable one is 0.347 eV/atom above it.

---

A) First-principles (PBE) data for crystalline PaInPb2 at its relaxed geometry, as listed in the Alexandria database.

Results
Space-group type: No. 123
Calculated volume, Å³ per atom: 26.8
Crystal system: tetragonal

a b c (Å): 4.831 4.831 4.596
angles (deg): 90.00 90.00 90.00
Atoms (fractional coordinates):
Pa  0.000  0.000  0.000
In  0.500  0.500  0.000
Pb  0.000  0.500  0.500
Pb  0.500  0.000  0.500

---

B) First-principles (PBE) data for crystalline PaInPb2 at its relaxed geometry, as listed in the Alexandria database.

Results
Space-group type: No. 166
Calculated volume, Å³ per atom: 29.2
Crystal system: trigonal

a b c (Å): 12.444 12.444 12.444
angles (deg): 15.30 15.30 15.30
Atoms (fractional coordinates):
Pa  0.000  0.000  0.000
In  0.500  0.500  0.500
Pb  0.089  0.089  0.089
Pb  0.911  0.911  0.911

---

Most favorable structure: A). The second most favorable one is 0.373 eV/atom above it.

---

A) First-principles (PBE) data for crystalline Pa2InPd at its relaxed geometry, as listed in the Alexandria database.

Results
Space-group type: No. 166
Calculated volume, Å³ per atom: 23.5
Crystal system: trigonal

a b c (Å): 11.135 11.135 11.135
angles (deg): 16.23 16.23 16.23
Atoms (fractional coordinates):
Pa  0.081  0.081  0.081
Pa  0.919  0.919  0.919
In  0.500  0.500  0.500
Pd  0.000  0.000  0.000

---

B) First-principles (PBE) data for crystalline Pa2InPd at its relaxed geometry, as listed in the Alexandria database.

Results
Space-group type: No. 123
Calculated volume, Å³ per atom: 22.2
Crystal system: tetragonal

a b c (Å): 4.337 4.337 4.723
angles (deg): 90.00 90.00 90.00
Atoms (fractional coordinates):
Pa  0.000  0.500  0.000
Pa  0.500  0.000  0.000
In  0.000  0.000  0.500
Pd  0.500  0.500  0.500

---

Most favorable structure: B). The second most favorable one is 0.261 eV/atom above it.

---

A) First-principles (PBE) data for crystalline PrPaIn2 at its relaxed geometry, as listed in the Alexandria database.

Results
Space-group type: No. 123
Calculated volume, Å³ per atom: 27.3
Crystal system: tetragonal

a b c (Å): 4.869 4.869 4.597
angles (deg): 90.00 90.00 90.00
Atoms (fractional coordinates):
Pr  0.000  0.000  0.000
Pa  0.500  0.500  0.000
In  0.000  0.500  0.500
In  0.500  0.000  0.500

---

B) First-principles (PBE) data for crystalline PrPaIn2 at its relaxed geometry, as listed in the Alexandria database.

Results
Space-group type: No. 123
Calculated volume, Å³ per atom: 26.9
Crystal system: tetragonal

a b c (Å): 3.397 3.397 9.338
angles (deg): 90.00 90.00 90.00
Atoms (fractional coordinates):
Pr  0.000  0.000  0.000
Pa  0.000  0.000  0.500
In  0.500  0.500  0.258
In  0.500  0.500  0.742

---

Most favorable structure: B). The second most favorable one is 0.080 eV/atom above it.

---

A) First-principles (PBE) data for crystalline Pa2InPt at its relaxed geometry, as listed in the Alexandria database.

Results
Space-group type: No. 166
Calculated volume, Å³ per atom: 23.5
Crystal system: trigonal

a b c (Å): 11.198 11.198 11.198
angles (deg): 16.10 16.10 16.10
Atoms (fractional coordinates):
Pa  0.082  0.082  0.082
Pa  0.918  0.918  0.918
In  0.500  0.500  0.500
Pt  0.000  0.000  0.000

---

B) First-principles (PBE) data for crystalline Pa2InPt at its relaxed geometry, as listed in the Alexandria database.

Results
Space-group type: No. 123
Calculated volume, Å³ per atom: 23.1
Crystal system: tetragonal

a b c (Å): 3.249 3.249 8.754
angles (deg): 90.00 90.00 90.00
Atoms (fractional coordinates):
Pa  0.000  0.000  0.223
Pa  0.000  0.000  0.777
In  0.500  0.500  0.500
Pt  0.500  0.500  0.000

---

C) First-principles (PBE) data for crystalline Pa2InPt at its relaxed geometry, as listed in the Alexandria database.

Results
Space-group type: No. 123
Calculated volume, Å³ per atom: 22.2
Crystal system: tetragonal

a b c (Å): 4.410 4.410 4.561
angles (deg): 90.00 90.00 90.00
Atoms (fractional coordinates):
Pa  0.000  0.500  0.000
Pa  0.500  0.000  0.000
In  0.000  0.000  0.500
Pt  0.500  0.500  0.500

---

Most favorable structure: B). The second most favorable one is 0.061 eV/atom above it.